VASP calculation (meta-GGA SCAN) on CsTeS3 at its PBEsol-relaxed geometry.

## Properties
Formation energy from raw total energies (eV per atom): 1.499
V (Å³ per cell): 152.2

abc: 5.339 5.339 5.339
angles: 90.00 90.00 90.00
Space group Pm-3m (No. 221)
Asymmetric unit:
1 Cs 0.000 0.000 0.000 (multiplicity 1)
2 Te 0.500 0.500 0.500 (multiplicity 1)
3 S 0.000 0.000 0.500 (multiplicity 3)